Entry from the Open Quantum Materials Database: a relaxed structure of PaSb (PBE-GGA).

The calculated volume is 240.3 Å³/cell. The magnetic moment comes out at 0.37 μB per formula unit. The value obtained for the energy relative to the lowest polymorph listed for this composition is 358.8 meV/atom.

It has space group Pmma (No. 51), with a = 6.231 Å, b = 5.088 Å, c = 7.580 Å, α = 90.00°, β = 90.00° and γ = 90.00°. Symmetry generates all atoms from Pa at (0.000, 0.000, 0.000), Pa at (0.250, 0.500, 0.184), Sb at (0.250, 0.000, 0.390) and Sb at (0.250, 0.500, 0.776).

***

Entry from the Open Quantum Materials Database: a relaxed structure of PaSb2 (PBE-GGA).

The calculated volume is 343.9 Å³/cell. The calculation puts the energy at -6.227 eV per atom. The magnetic moment comes out at 0.02 μB per formula unit.

It has space group C2/m (No. 12), with a = 11.040 Å, b = 4.033 Å, c = 8.542 Å, α = 90.00°, β = 115.28° and γ = 90.00°. Symmetry generates all atoms from Pa at (0.169, 0.000, 0.176), Sb at (0.060, 0.500, 0.851) and Sb at (0.145, 0.000, 0.533).

***

Entry from the Open Quantum Materials Database: a relaxed structure of PaSb (PBE-GGA).

The calculated volume is 123.3 Å³/cell. The magnetic moment comes out at 1.17 μB per formula unit. The value obtained for the energy relative to the lowest polymorph listed for this composition is 132.1 meV/atom.

It has space group P6_3/mmc (No. 194), with a = 4.5461 Å, b = 4.5461 Å, c = 6.8870 Å, α = 90.00°, β = 90.00° and γ = 120.00°. Symmetry generates all atoms from Pa at (0.0000, 0.0000, 0.0000) and Sb at (0.3333, 0.6667, 0.2500).

***

Entry from the Open Quantum Materials Database: a relaxed structure of Pa2SnSb3 (PBE-GGA).

The calculated volume is 163.5 Å³/cell. The calculation puts the energy at -6.388 eV per atom. The magnetic moment comes out at 0.01 μB per formula unit.

It has space group P-4m2 (No. 115), with a = 4.324 Å, b = 4.324 Å, c = 8.746 Å, α = 90.00°, β = 90.00° and γ = 90.00°. Symmetry generates all atoms from Pa at (0.000, 0.500, 0.218), Sn at (0.000, 0.000, 0.500), Sb at (0.000, 0.500, 0.857) and Sb at (0.500, 0.500, 0.500).